YTcNi2 at its PBEsol-relaxed geometry. Source: Alexandria via LeMat-Bulk, functional meta-GGA SCAN.

Lattice parameters (Å, degrees): 2.856 4.446 5.314 114.73 105.59 90.00
Positions (direct):
Y1 0.744 0.244 0.488
Ni1 0.973 0.973 0.947
Ni2 0.257 0.757 0.514
Tc1 0.526 0.526 0.052

Summary:
Calculated formation energy ... 0.220 eV/atom
Magnetic moment ... 0.009 μB/cell

=====

YTcNi3 at its PBEsol-relaxed geometry. Source: Alexandria via LeMat-Bulk, functional meta-GGA SCAN.

Lattice parameters (Å, degrees): 4.466 4.466 4.466 90.00 90.00 90.00
Each line ends with the local moment (μB).
Positions (direct):
Tc1 0.500 0.500 0.500  3.43
Ni1 0.000 0.500 0.000  0.20
Ni2 0.000 0.000 0.500  0.20
Ni3 0.500 0.000 0.000  0.20
Y1 0.000 0.000 0.000  -0.23

Summary:
Calculated formation energy ... 1.729 eV/atom
Magnetic moment ... 3.840 μB/cell

=====

ZnTc2Ni at its PBEsol-relaxed geometry. Source: Alexandria via LeMat-Bulk, functional meta-GGA SCAN.

Lattice parameters (Å, degrees): 3.571 3.571 4.751 112.07 112.07 90.00
Positions (direct):
Ni1 0.000 0.000 0.000
Tc1 0.250 0.750 0.500
Tc2 0.750 0.250 0.500
Zn1 0.500 0.500 0.000

Summary:
Calculated formation energy ... 0.055 eV/atom
Magnetic moment ... 0.000 μB/cell

=====

ZnTcNi6 at its PBEsol-relaxed geometry. Source: Alexandria via LeMat-Bulk, functional meta-GGA SCAN.

Lattice parameters (Å, degrees): 6.119 6.119 10.000 90.00 90.00 109.43
Each line ends with the local moment (μB).
Positions (direct):
Zn1 0.250 0.750 0.000  -0.03
Zn2 0.500 0.500 0.248  -0.03
Zn3 0.500 0.500 0.752  -0.03
Zn4 0.750 0.250 0.000  -0.03
Ni1 0.628 0.876 0.126  0.37
Ni2 0.752 0.248 0.253  0.25
Ni3 0.372 0.124 0.874  0.37
Ni4 0.626 0.878 0.624  0.24
Ni5 0.122 0.374 0.624  0.24
Ni6 0.374 0.122 0.376  0.24
Ni7 0.372 0.124 0.126  0.37
Ni8 0.628 0.876 0.874  0.37
Ni9 0.248 0.752 0.747  0.25
Ni10 0.000 0.000 0.500  0.36
Ni11 0.500 0.500 0.500  0.42
Ni12 0.124 0.372 0.126  0.37
Ni13 0.122 0.374 0.376  0.24
Ni14 0.876 0.628 0.126  0.37
Ni15 0.876 0.628 0.874  0.37
Ni16 0.000 0.000 0.000  0.22
Ni17 0.500 0.500 0.000  0.44
Ni18 0.374 0.122 0.624  0.24
Ni19 0.626 0.878 0.376  0.24
Ni20 0.878 0.626 0.624  0.24
Ni21 0.878 0.626 0.376  0.24
Ni22 0.752 0.248 0.747  0.25
Ni23 0.248 0.752 0.253  0.25
Ni24 0.124 0.372 0.874  0.37
Tc1 0.000 0.000 0.243  0.83
Tc2 0.000 0.000 0.757  0.83
Tc3 0.751 0.249 0.500  0.97
Tc4 0.249 0.751 0.500  0.97

Summary:
Calculated formation energy ... -0.010 eV/atom
Magnetic moment ... 9.908 μB/cell

=====

Zn3TcNi at its PBEsol-relaxed geometry. Source: Alexandria via LeMat-Bulk, functional meta-GGA SCAN.

Lattice parameters (Å, degrees): 4.292 4.292 4.292 90.00 90.00 90.00
Each line ends with the local moment (μB).
Positions (direct):
Tc1 0.500 0.500 0.500  3.00
Ni1 0.000 0.000 0.000  0.10
Zn1 0.000 0.500 0.000  -0.05
Zn2 0.500 0.000 0.000  -0.05
Zn3 0.000 0.000 0.500  -0.05

Summary:
Calculated formation energy ... 0.746 eV/atom
Magnetic moment ... 2.913 μB/cell

=====

ZrTcNi at its PBEsol-relaxed geometry. Source: Alexandria via LeMat-Bulk, functional meta-GGA SCAN.

Lattice parameters (Å, degrees): 2.726 2.726 6.292 102.45 102.45 90.28
Positions (direct):
Tc1 0.647 0.647 0.295
Zr1 0.340 0.340 0.680
Ni1 0.013 0.013 0.025

Summary:
Calculated formation energy ... 0.005 eV/atom
Offset from the most stable computed form ... 0.0 meV per atom
Magnetic moment ... 0.000 μB/cell

=====

Please write out number 2 again, unchanged.
YTcNi3 at its PBEsol-relaxed geometry. Source: Alexandria via LeMat-Bulk, functional meta-GGA SCAN.

Lattice parameters (Å, degrees): 4.466 4.466 4.466 90.00 90.00 90.00
Each line ends with the local moment (μB).
Positions (direct):
Tc1 0.500 0.500 0.500  3.43
Ni1 0.000 0.500 0.000  0.20
Ni2 0.000 0.000 0.500  0.20
Ni3 0.500 0.000 0.000  0.20
Y1 0.000 0.000 0.000  -0.23

Summary:
Calculated formation energy ... 1.729 eV/atom
Magnetic moment ... 3.840 μB/cell

=====

Question: calculated formation energy of number 6 (ZrTcNi)?
Answer: 0.005 eV/atom

=====

Copy entry 1 word for word.
YTcNi2 at its PBEsol-relaxed geometry. Source: Alexandria via LeMat-Bulk, functional meta-GGA SCAN.

Lattice parameters (Å, degrees): 2.856 4.446 5.314 114.73 105.59 90.00
Positions (direct):
Y1 0.744 0.244 0.488
Ni1 0.973 0.973 0.947
Ni2 0.257 0.757 0.514
Tc1 0.526 0.526 0.052

Summary:
Calculated formation energy ... 0.220 eV/atom
Magnetic moment ... 0.009 μB/cell

=====

Question: Among the records above, which one has the highest calculated formation energy?
Answer: YTcNi3